LiCaTa2Cr, single point on PBEsol structure, DFT SCAN; SG = No. 123; energy = -156.44 eV per cell; energy of formation from the pure elements = 1.43 eV/atom
1.0
-3.9830 2.7711 -0.2076
-1.7904 -2.3230 3.3438
1.8087 2.8189 2.9267
Cr Ca Ta Li
1 1 2 1
Cartesian
-1.9824 1.6335 3.0315
-1.9915 1.3856 -0.1038
-0.8952 -1.1615 1.6719
0.9043 1.4094 1.4634
0.0000 0.0000 0.0000

---

CaMg3Cr, single point on PBEsol structure, DFT SCAN; SG = No. 221; energy = -41.29 eV per cell; energy of formation from the pure elements = 0.34 eV/atom
1.0
5.1584 0.0000 0.0000
0.0000 5.1584 0.0000
0.0000 0.0000 5.1584
Mg Ca Cr
3 1 1
Cartesian
2.5792 0.0000 0.0000
0.0000 2.5792 0.0000
0.0000 0.0000 2.5792
2.5792 2.5792 2.5792
0.0000 0.0000 0.0000

---

Number 1: mass density 7.97 g/cm3, D(E_F) 1.08 states/eV/atom. Number 2: mass density 2.00 g/cm3, D(E_F) 0.61 states/eV/atom.